w | Density functional theory data (PBE) for an optimized crystal structure of ZrMo3Rh.

Structure (CIF):
```
data_ZrMo3Rh
_cell_length_a 4.706
_cell_length_b 4.706
_cell_length_c 4.706
_cell_angle_alpha 90.00
_cell_angle_beta 90.00
_cell_angle_gamma 90.00
_symmetry_space_group_name_H-M 'P m -3 m'
_symmetry_Int_Tables_number 221
_symmetry_space_group_name_Hall '-P 4 2 3'
loop_
_atom_site_label
_atom_site_type_symbol
_atom_site_fract_x
_atom_site_fract_y
_atom_site_fract_z
Zr1 Zr 0.000 0.000 0.000
Mo1 Mo 0.000 0.500 0.500
Rh1 Rh 0.500 0.500 0.500
```

Calculated values
- N(E_F): 1.55 states/eV/atom


x | Density functional theory data (PBE) for an optimized crystal structure of ZrMo3Rh.

Structure (CIF):
```
data_ZrMo3Rh
_cell_length_a 4.704
_cell_length_b 4.704
_cell_length_c 4.704
_cell_angle_alpha 90.00
_cell_angle_beta 90.00
_cell_angle_gamma 90.00
_symmetry_space_group_name_H-M 'P m -3 m'
_symmetry_Int_Tables_number 221
_symmetry_space_group_name_Hall '-P 4 2 3'
loop_
_atom_site_label
_atom_site_type_symbol
_atom_site_fract_x
_atom_site_fract_y
_atom_site_fract_z
Zr1 Zr 0.000 0.000 0.000
Mo1 Mo 0.000 0.000 0.500
Rh1 Rh 0.500 0.500 0.500
```

Calculated values
- N(E_F): 1.49 states/eV/atom


Energies relative to the most stable structure are w 0; x 889, reported in meV/atom.


w | Density functional theory data (PBE) for an optimized crystal structure of Mo3Ru4.

Structure (CIF):
```
data_Mo3Ru4
_cell_length_a 5.0212
_cell_length_b 5.0212
_cell_length_c 4.9015
_cell_angle_alpha 90.00
_cell_angle_beta 90.00
_cell_angle_gamma 120.00
_symmetry_space_group_name_H-M 'P 6/m m m'
_symmetry_Int_Tables_number 191
_symmetry_space_group_name_Hall '-P 6 2'
loop_
_atom_site_label
_atom_site_type_symbol
_atom_site_fract_x
_atom_site_fract_y
_atom_site_fract_z
Mo1 Mo 0.0000 0.5000 0.0000
Ru1 Ru 0.0000 0.0000 0.2610
Ru2 Ru 0.3333 0.6667 0.5000
```

Calculated values
- N(E_F): 1.86 states/eV/atom


x | Density functional theory data (PBE) for an optimized crystal structure of Mo3Ru4.

Structure (CIF):
```
data_Mo3Ru4
_cell_length_a 3.192
_cell_length_b 3.192
_cell_length_c 20.801
_cell_angle_alpha 90.00
_cell_angle_beta 90.00
_cell_angle_gamma 90.00
_symmetry_space_group_name_H-M 'I 4/m m m'
_symmetry_Int_Tables_number 139
_symmetry_space_group_name_Hall '-I 4 2'
loop_
_atom_site_label
_atom_site_type_symbol
_atom_site_fract_x
_atom_site_fract_y
_atom_site_fract_z
Mo1 Mo 0.000 0.000 0.000
Mo2 Mo 0.000 0.000 0.290
Ru1 Ru 0.000 0.000 0.149
Ru2 Ru 0.000 0.000 0.434
```

Calculated values
- N(E_F): 1.32 states/eV/atom


Energies relative to the most stable structure are w 56; x 0, reported in meV/atom.


w | Density functional theory data (PBE) for an optimized crystal structure of MoRuS2.

Structure (CIF):
```
data_MoRuS2
_cell_length_a 3.0471
_cell_length_b 3.0471
_cell_length_c 23.4127
_cell_angle_alpha 90.00
_cell_angle_beta 90.00
_cell_angle_gamma 120.00
_symmetry_space_group_name_H-M 'R -3 m'
_symmetry_Int_Tables_number 166
_symmetry_space_group_name_Hall '-R 3 2"'
loop_
_atom_site_label
_atom_site_type_symbol
_atom_site_fract_x
_atom_site_fract_y
_atom_site_fract_z
Mo1 Mo 0.0000 0.0000 0.0000
Ru1 Ru 0.0000 0.0000 0.5000
S1 S 0.0000 0.0000 0.4043
```

Calculated values
- N(E_F): 0.47 states/eV/atom


x | Density functional theory data (PBE) for an optimized crystal structure of MoRuS2.

Structure (CIF):
```
data_MoRuS2
_cell_length_a 5.995
_cell_length_b 5.995
_cell_length_c 5.995
_cell_angle_alpha 90.00
_cell_angle_beta 90.00
_cell_angle_gamma 90.00
_symmetry_space_group_name_H-M 'F m -3 m'
_symmetry_Int_Tables_number 225
_symmetry_space_group_name_Hall '-F 4 2 3'
loop_
_atom_site_label
_atom_site_type_symbol
_atom_site_fract_x
_atom_site_fract_y
_atom_site_fract_z
Mo1 Mo 0.000 0.000 0.000
Ru1 Ru 0.000 0.000 0.500
S1 S 0.250 0.250 0.250
```

Calculated values
- N(E_F): 0.66 states/eV/atom


y | Density functional theory data (PBE) for an optimized crystal structure of MoRuS2.

Structure (CIF):
```
data_MoRuS2
_cell_length_a 5.326
_cell_length_b 5.326
_cell_length_c 10.337
_cell_angle_alpha 90.00
_cell_angle_beta 90.00
_cell_angle_gamma 90.00
_symmetry_space_group_name_H-M 'I -4 2 d'
_symmetry_Int_Tables_number 122
_symmetry_space_group_name_Hall 'I -4 2bw'
loop_
_atom_site_label
_atom_site_type_symbol
_atom_site_fract_x
_atom_site_fract_y
_atom_site_fract_z
Mo1 Mo 0.000 0.000 0.000
Ru1 Ru 0.000 0.000 0.500
S1 S 0.243 0.250 0.625
```

Calculated values
- N(E_F): 0.92 states/eV/atom


Energies relative to the most stable structure are w 0; x 190; y 96, reported in meV/atom.


w | Density functional theory data (PBE) for an optimized crystal structure of MoRu3S.

Structure (CIF):
```
data_MoRu3S
_cell_length_a 4.301
_cell_length_b 4.301
_cell_length_c 4.301
_cell_angle_alpha 90.00
_cell_angle_beta 90.00
_cell_angle_gamma 90.00
_symmetry_space_group_name_H-M 'P m -3 m'
_symmetry_Int_Tables_number 221
_symmetry_space_group_name_Hall '-P 4 2 3'
loop_
_atom_site_label
_atom_site_type_symbol
_atom_site_fract_x
_atom_site_fract_y
_atom_site_fract_z
Mo1 Mo 0.000 0.000 0.000
Ru1 Ru 0.000 0.500 0.500
S1 S 0.500 0.500 0.500
```

Calculated values
- N(E_F): 2.28 states/eV/atom


x | Density functional theory data (PBE) for an optimized crystal structure of MoRu3S.

Structure (CIF):
```
data_MoRu3S
_cell_length_a 4.688
_cell_length_b 4.688
_cell_length_c 4.688
_cell_angle_alpha 90.00
_cell_angle_beta 90.00
_cell_angle_gamma 90.00
_symmetry_space_group_name_H-M 'P m -3 m'
_symmetry_Int_Tables_number 221
_symmetry_space_group_name_Hall '-P 4 2 3'
loop_
_atom_site_label
_atom_site_type_symbol
_atom_site_fract_x
_atom_site_fract_y
_atom_site_fract_z
Mo1 Mo 0.000 0.000 0.000
Ru1 Ru 0.000 0.000 0.500
S1 S 0.500 0.500 0.500
```

Calculated values
- N(E_F): 1.52 states/eV/atom


Energies relative to the most stable structure are w 0; x 1105, reported in meV/atom.


w | Density functional theory data (PBE) for an optimized crystal structure of Sb2MoRu2.

Structure (CIF):
```
data_Sb2MoRu2
_cell_length_a 7.614
_cell_length_b 7.614
_cell_length_c 2.996
_cell_angle_alpha 90.00
_cell_angle_beta 90.00
_cell_angle_gamma 90.00
_symmetry_space_group_name_H-M 'P 4/m b m'
_symmetry_Int_Tables_number 127
_symmetry_space_group_name_Hall '-P 4 2ab'
loop_
_atom_site_label
_atom_site_type_symbol
_atom_site_fract_x
_atom_site_fract_y
_atom_site_fract_z
Sb1 Sb 0.155 0.345 0.000
Mo1 Mo 0.000 0.000 0.000
Ru1 Ru 0.145 0.645 0.500
```

Calculated values
- N(E_F): 0.75 states/eV/atom


x | Density functional theory data (PBE) for an optimized crystal structure of Sb2MoRu2.

Structure (CIF):
```
data_Sb2MoRu2
_cell_length_a 4.325
_cell_length_b 4.325
_cell_length_c 10.845
_cell_angle_alpha 90.00
_cell_angle_beta 90.00
_cell_angle_gamma 90.00
_symmetry_space_group_name_H-M 'I 4/m m m'
_symmetry_Int_Tables_number 139
_symmetry_space_group_name_Hall '-I 4 2'
loop_
_atom_site_label
_atom_site_type_symbol
_atom_site_fract_x
_atom_site_fract_y
_atom_site_fract_z
Sb1 Sb 0.000 0.000 0.125
Mo1 Mo 0.000 0.000 0.500
Ru1 Ru 0.000 0.500 0.250
```

Calculated values
- N(E_F): 0.71 states/eV/atom


Energies relative to the most stable structure are w 0; x 341, reported in meV/atom.


w | Density functional theory data (PBE) for an optimized crystal structure of Sc2MoRu.

Structure (CIF):
```
data_Sc2MoRu
_cell_length_a 3.146
_cell_length_b 3.146
_cell_length_c 7.112
_cell_angle_alpha 90.00
_cell_angle_beta 90.00
_cell_angle_gamma 90.00
_symmetry_space_group_name_H-M 'P 4/m m m'
_symmetry_Int_Tables_number 123
_symmetry_space_group_name_Hall '-P 4 2'
loop_
_atom_site_label
_atom_site_type_symbol
_atom_site_fract_x
_atom_site_fract_y
_atom_site_fract_z
Sc1 Sc 0.000 0.000 0.224
Mo1 Mo 0.500 0.500 0.500
Ru1 Ru 0.500 0.500 0.000
```

Calculated values
- N(E_F): 1.02 states/eV/atom


x | Density functional theory data (PBE) for an optimized crystal structure of Sc2MoRu.

Structure (CIF):
```
data_Sc2MoRu
_cell_length_a 4.655
_cell_length_b 4.655
_cell_length_c 3.210
_cell_angle_alpha 90.00
_cell_angle_beta 90.00
_cell_angle_gamma 90.00
_symmetry_space_group_name_H-M 'P 4/m m m'
_symmetry_Int_Tables_number 123
_symmetry_space_group_name_Hall '-P 4 2'
loop_
_atom_site_label
_atom_site_type_symbol
_atom_site_fract_x
_atom_site_fract_y
_atom_site_fract_z
Sc1 Sc 0.000 0.500 0.000
Mo1 Mo 0.000 0.000 0.500
Ru1 Ru 0.500 0.500 0.500
```

Calculated values
- N(E_F): 1.57 states/eV/atom


Energies relative to the most stable structure are w 0; x 67, reported in meV/atom.